No. 1
Below is a relaxed structure of Ta2SiRh, with properties calculated at the PBE level.

Computed properties:
The value obtained for the formation energy (no corrections) is -0.3888 eV/atom. For the density of states at the Fermi level, the calculation gives 1.94 states/eV/f.u.

Cell: 3.432 4.293 4.267 Å, 90.00 90.00 90.00°
Atoms (fractional coordinates):
1 Rh 0.500 0.000 0.500
2 Si 0.000 0.500 0.500
3 Ta 0.000 0.000 0.000
4 Ta 0.500 0.500 0.000


No. 2
Below is a relaxed structure of TaSiRh3, with properties calculated at the PBE level.

Computed properties:
The value obtained for the formation energy (no corrections) is 0.2312 eV/atom. Its energy above the most stable polymorph in this dataset is 0 meV per atom. For the density of states at the Fermi level, the calculation gives 12.08 states/eV/f.u.

Cell: 4.359 4.359 4.359 Å, 90.00 90.00 90.00°
Atoms (fractional coordinates):
1 Si 0.000 0.000 0.000
2 Rh 0.000 0.500 0.000
3 Rh 0.000 0.000 0.500
4 Rh 0.500 0.000 0.000
5 Ta 0.500 0.500 0.500